DFT (PBE) results for a relaxed structure of GdNbTl.

Values from the calculation:
raw total energy = -5.07 eV per atom
symmetry = F-43m (216)
ΔE to the lowest computed polymorph = 0 meV per atom
calculated density = 9.13 g cm⁻³

```
data_GdNbTl
_cell_length_a 4.890
_cell_length_b 4.890
_cell_length_c 4.890
_cell_angle_alpha 60.00
_cell_angle_beta 60.00
_cell_angle_gamma 60.00
_space_group_name_H-M_alt 'P 1'
_space_group_IT_number 1
_space_group_name_Hall 'P 1'
loop_
_atom_site_label
_atom_site_type_symbol
_atom_site_fract_x
_atom_site_fract_y
_atom_site_fract_z
Gd1 Gd 0.000 0.000 0.000
Nb1 Nb 0.500 0.500 0.500
Tl1 Tl 0.250 0.250 0.250
```

***

DFT (PBE) results for a relaxed structure of CsHg3Te4Pd.

Values from the calculation:
raw total energy = -2.31 eV per atom
symmetry = P-43m (215)
calculated density = 5.77 g cm⁻³

```
data_CsHg3Te4Pd
_cell_length_a 7.298
_cell_length_b 7.298
_cell_length_c 7.298
_cell_angle_alpha 90.00
_cell_angle_beta 90.00
_cell_angle_gamma 90.00
_space_group_name_H-M_alt 'P 1'
_space_group_IT_number 1
_space_group_name_Hall 'P 1'
loop_
_atom_site_label
_atom_site_type_symbol
_atom_site_fract_x
_atom_site_fract_y
_atom_site_fract_z
Cs1 Cs 0.000 0.000 0.000
Hg1 Hg 0.000 0.500 0.500
Hg2 Hg 0.500 0.000 0.500
Hg3 Hg 0.500 0.500 0.000
Te1 Te 0.292 0.292 0.292
Te2 Te 0.292 0.708 0.708
Te3 Te 0.708 0.292 0.708
Te4 Te 0.708 0.708 0.292
Pd1 Pd 0.500 0.500 0.500
```

***

DFT (PBE) results for a relaxed structure of RbHoMgSe3.

Values from the calculation:
raw total energy = -4.49 eV per atom
symmetry = Pnma (62)
calculated density = 4.69 g cm⁻³

```
data_RbHoMgSe3
_cell_length_a 11.116
_cell_length_b 4.226
_cell_length_c 15.431
_cell_angle_alpha 90.00
_cell_angle_beta 90.00
_cell_angle_gamma 90.00
_space_group_name_H-M_alt 'P 1'
_space_group_IT_number 1
_space_group_name_Hall 'P 1'
loop_
_atom_site_label
_atom_site_type_symbol
_atom_site_fract_x
_atom_site_fract_y
_atom_site_fract_z
Rb1 Rb 0.244 0.250 0.007
Rb2 Rb 0.256 0.750 0.507
Rb3 Rb 0.744 0.250 0.493
Rb4 Rb 0.756 0.750 0.993
Ho1 Ho 0.007 0.750 0.251
Ho2 Ho 0.493 0.250 0.751
Ho3 Ho 0.507 0.750 0.249
Ho4 Ho 0.993 0.250 0.749
Mg1 Mg 0.243 0.750 0.787
Mg2 Mg 0.257 0.250 0.287
Mg3 Mg 0.743 0.750 0.713
Mg4 Mg 0.757 0.250 0.213
Se1 Se 0.047 0.750 0.871
Se2 Se 0.062 0.250 0.372
Se3 Se 0.243 0.250 0.689
Se4 Se 0.257 0.750 0.189
Se5 Se 0.438 0.750 0.872
Se6 Se 0.453 0.250 0.371
Se7 Se 0.547 0.750 0.629
Se8 Se 0.562 0.250 0.128
Se9 Se 0.743 0.250 0.811
Se10 Se 0.757 0.750 0.311
Se11 Se 0.938 0.750 0.628
Se12 Se 0.953 0.250 0.129
```

***

DFT (PBE) results for a relaxed structure of Lu4CoPN2.

Values from the calculation:
raw total energy = -7.00 eV per atom
symmetry = P-6m2 (187)
calculated density = 10.32 g cm⁻³

```
data_Lu4CoPN2
_cell_length_a 3.423
_cell_length_b 3.423
_cell_length_c 12.972
_cell_angle_alpha 90.00
_cell_angle_beta 90.00
_cell_angle_gamma 120.00
_space_group_name_H-M_alt 'P 1'
_space_group_IT_number 1
_space_group_name_Hall 'P 1'
loop_
_atom_site_label
_atom_site_type_symbol
_atom_site_fract_x
_atom_site_fract_y
_atom_site_fract_z
Lu1 Lu 0.000 0.000 0.145
Lu2 Lu 0.000 0.000 0.855
Lu3 Lu 0.333 0.667 0.353
Lu4 Lu 0.333 0.667 0.647
Co1 Co 0.333 0.667 0.000
P1 P 0.000 0.000 0.500
N1 N 0.667 0.333 0.257
N2 N 0.667 0.333 0.743
```

***

DFT (PBE) results for a relaxed structure of KLiThS3.

Values from the calculation:
raw total energy = -5.50 eV per atom
symmetry = Cmcm (63)
calculated density = 3.98 g cm⁻³

```
data_KLiThS3
_cell_length_a 7.232
_cell_length_b 7.232
_cell_length_c 10.779
_cell_angle_alpha 90.00
_cell_angle_beta 90.00
_cell_angle_gamma 146.34
_space_group_name_H-M_alt 'P 1'
_space_group_IT_number 1
_space_group_name_Hall 'P 1'
loop_
_atom_site_label
_atom_site_type_symbol
_atom_site_fract_x
_atom_site_fract_y
_atom_site_fract_z
K1 K 0.243 0.757 0.750
K2 K 0.757 0.243 0.250
Li1 Li 0.033 0.967 0.250
Li2 Li 0.967 0.033 0.750
Th1 Th 0.500 0.500 0.000
Th2 Th 0.500 0.500 0.500
S1 S 0.123 0.877 0.061
S2 S 0.123 0.877 0.439
S3 S 0.441 0.559 0.250
S4 S 0.559 0.441 0.750
S5 S 0.877 0.123 0.561
S6 S 0.877 0.123 0.939
```

***

DFT (PBE) results for a relaxed structure of Dy2Sc2CIBr4.

Values from the calculation:
raw total energy = -5.28 eV per atom
symmetry = C2/m (12)
ΔE to the lowest computed polymorph = 0 meV per atom
calculated density = 4.79 g cm⁻³

```
data_Dy2Sc2CIBr4
_cell_length_a 9.918
_cell_length_b 9.918
_cell_length_c 8.490
_cell_angle_alpha 102.14
_cell_angle_beta 102.14
_cell_angle_gamma 21.80
_space_group_name_H-M_alt 'P 1'
_space_group_IT_number 1
_space_group_name_Hall 'P 1'
loop_
_atom_site_label
_atom_site_type_symbol
_atom_site_fract_x
_atom_site_fract_y
_atom_site_fract_z
Dy1 Dy 0.000 0.000 0.192
Dy2 Dy 0.000 0.000 0.808
Sc1 Sc 0.383 0.383 0.942
Sc2 Sc 0.617 0.617 0.058
C1 C 0.500 0.500 0.000
I1 I 0.500 0.500 0.500
Br1 Br 0.152 0.152 0.296
Br2 Br 0.153 0.153 0.853
Br3 Br 0.847 0.847 0.147
Br4 Br 0.848 0.848 0.704
```

***

DFT (PBE) results for a relaxed structure of NaSmCoSe3.

Values from the calculation:
raw total energy = -5.03 eV per atom
symmetry = P2_1/m (11)
ΔE to the lowest computed polymorph = 0 meV per atom
calculated density = 5.05 g cm⁻³

```
data_NaSmCoSe3
_cell_length_a 8.398
_cell_length_b 4.021
_cell_length_c 9.348
_cell_angle_alpha 90.00
_cell_angle_beta 102.31
_cell_angle_gamma 90.00
_space_group_name_H-M_alt 'P 1'
_space_group_IT_number 1
_space_group_name_Hall 'P 1'
loop_
_atom_site_label
_atom_site_type_symbol
_atom_site_fract_x
_atom_site_fract_y
_atom_site_fract_z
Na1 Na 0.200 0.250 0.235
Na2 Na 0.800 0.750 0.765
Sm1 Sm 0.322 0.750 0.854
Sm2 Sm 0.678 0.250 0.146
Co1 Co 0.075 0.250 0.586
Co2 Co 0.925 0.750 0.414
Se1 Se 0.074 0.250 0.843
Se2 Se 0.200 0.750 0.524
Se3 Se 0.435 0.750 0.170
Se4 Se 0.565 0.250 0.830
Se5 Se 0.800 0.250 0.476
Se6 Se 0.926 0.750 0.157
```

***

DFT (PBE) results for a relaxed structure of Nd2H2IBr3.

Values from the calculation:
raw total energy = -4.31 eV per atom
symmetry = P3m1 (156)
calculated density = 5.08 g cm⁻³

```
data_Nd2H2IBr3
_cell_length_a 4.037
_cell_length_b 4.037
_cell_length_c 15.227
_cell_angle_alpha 90.00
_cell_angle_beta 90.00
_cell_angle_gamma 120.00
_space_group_name_H-M_alt 'P 1'
_space_group_IT_number 1
_space_group_name_Hall 'P 1'
loop_
_atom_site_label
_atom_site_type_symbol
_atom_site_fract_x
_atom_site_fract_y
_atom_site_fract_z
Nd1 Nd 0.000 0.000 0.000
Nd2 Nd 0.000 0.000 0.494
H1 H 0.333 0.667 0.000
H2 H 0.667 0.333 0.498
I1 I 0.333 0.667 0.638
Br1 Br 0.333 0.667 0.367
Br2 Br 0.667 0.333 0.127
Br3 Br 0.667 0.333 0.873
```

***

DFT (PBE) results for a relaxed structure of LuFeCuW.

Values from the calculation:
raw total energy = -6.99 eV per atom
symmetry = F-43m (216)
formation energy from the elements = 385 meV/atom
ΔE to the lowest computed polymorph = 126 meV per atom
calculated density = 13.16 g cm⁻³

```
data_LuFeCuW
_cell_length_a 4.402
_cell_length_b 4.402
_cell_length_c 4.402
_cell_angle_alpha 60.00
_cell_angle_beta 60.00
_cell_angle_gamma 60.00
_space_group_name_H-M_alt 'P 1'
_space_group_IT_number 1
_space_group_name_Hall 'P 1'
loop_
_atom_site_label
_atom_site_type_symbol
_atom_site_fract_x
_atom_site_fract_y
_atom_site_fract_z
Lu1 Lu 0.000 0.000 0.000
Fe1 Fe 0.500 0.500 0.500
Cu1 Cu 0.750 0.750 0.750
W1 W 0.250 0.250 0.250
```

***

DFT (PBE) results for a relaxed structure of Nd2ErPdPt2Pb3.

Values from the calculation:
raw total energy = -5.53 eV per atom
symmetry = Amm2 (38)
calculated density = 12.15 g cm⁻³

```
data_Nd2ErPdPt2Pb3
_cell_length_a 4.067
_cell_length_b 7.803
_cell_length_c 7.803
_cell_angle_alpha 119.71
_cell_angle_beta 90.00
_cell_angle_gamma 90.00
_space_group_name_H-M_alt 'P 1'
_space_group_IT_number 1
_space_group_name_Hall 'P 1'
loop_
_atom_site_label
_atom_site_type_symbol
_atom_site_fract_x
_atom_site_fract_y
_atom_site_fract_z
Nd1 Nd 0.000 0.205 0.795
Nd2 Nd 0.000 0.795 0.205
Er1 Er 0.000 0.385 0.385
Pd1 Pd 0.000 0.787 0.787
Pt1 Pt 0.500 0.137 0.459
Pt2 Pt 0.500 0.459 0.137
Pb1 Pb 0.500 0.051 0.051
Pb2 Pb 0.500 0.536 0.794
Pb3 Pb 0.500 0.794 0.536
```

***

DFT (PBE) results for a relaxed structure of Pr3Si2ClO8.

Values from the calculation:
raw total energy = -7.90 eV per atom
symmetry = C2/c (15)
calculated density = 5.37 g cm⁻³

```
data_Pr3Si2ClO8
_cell_length_a 7.785
_cell_length_b 7.785
_cell_length_c 8.810
_cell_angle_alpha 97.72
_cell_angle_beta 97.72
_cell_angle_gamma 48.79
_space_group_name_H-M_alt 'P 1'
_space_group_IT_number 1
_space_group_name_Hall 'P 1'
loop_
_atom_site_label
_atom_site_type_symbol
_atom_site_fract_x
_atom_site_fract_y
_atom_site_fract_z
Pr1 Pr 0.075 0.925 0.750
Pr2 Pr 0.211 0.419 0.330
Pr3 Pr 0.419 0.211 0.830
Pr4 Pr 0.581 0.789 0.170
Pr5 Pr 0.789 0.581 0.670
Pr6 Pr 0.925 0.075 0.250
Si1 Si 0.104 0.212 0.025
Si2 Si 0.212 0.104 0.525
Si3 Si 0.788 0.896 0.475
Si4 Si 0.896 0.788 0.975
Cl1 Cl 0.474 0.526 0.250
Cl2 Cl 0.526 0.474 0.750
O1 O 0.041 0.268 0.845
O2 O 0.052 0.795 0.469
O3 O 0.096 0.619 0.855
O4 O 0.204 0.320 0.582
O5 O 0.205 0.948 0.031
O6 O 0.268 0.041 0.345
O7 O 0.320 0.204 0.082
O8 O 0.381 0.904 0.645
O9 O 0.619 0.096 0.355
O10 O 0.680 0.796 0.918
O11 O 0.732 0.959 0.655
O12 O 0.795 0.052 0.969
O13 O 0.796 0.680 0.418
O14 O 0.904 0.381 0.145
O15 O 0.948 0.205 0.531
O16 O 0.959 0.732 0.155
```

***

DFT (PBE) results for a relaxed structure of DyTmAu6.

Values from the calculation:
raw total energy = -4.31 eV per atom
symmetry = Pmm2 (25)
formation energy from the elements = -728 meV/atom
calculated density = 15.90 g cm⁻³

```
data_DyTmAu6
_cell_length_a 5.018
_cell_length_b 6.139
_cell_length_c 5.130
_cell_angle_alpha 90.00
_cell_angle_beta 90.00
_cell_angle_gamma 90.00
_space_group_name_H-M_alt 'P 1'
_space_group_IT_number 1
_space_group_name_Hall 'P 1'
loop_
_atom_site_label
_atom_site_type_symbol
_atom_site_fract_x
_atom_site_fract_y
_atom_site_fract_z
Dy1 Dy 0.000 0.000 0.000
Tm1 Tm 0.500 0.500 0.314
Au1 Au 0.000 0.258 0.495
Au2 Au 0.000 0.500 0.994
Au3 Au 0.000 0.742 0.495
Au4 Au 0.500 0.000 0.325
Au5 Au 0.500 0.248 0.819
Au6 Au 0.500 0.752 0.819
```